(1)
Below is an optimized crystal structure of Na3Pr2NpO6, with properties calculated at the PBE level.

Geometry as POSCAR:
```
Na3Pr2NpO6
1.0
-5.539 1.294 2.447
0.393 -3.442 -5.133
2.014 -3.990 4.070
O Na Pr Np
6 3 2 1
direct
0.073 0.394 0.220
0.394 0.073 0.220
0.927 0.606 0.780
0.751 0.751 0.218
0.249 0.249 0.782
0.606 0.927 0.780
0.161 0.839 0.500
0.839 0.161 0.500
0.500 0.500 0.500
0.667 0.333 0.000
0.333 0.667 0.000
0.000 0.000 0.000
```


(2)
Below is an optimized crystal structure of NaPrNp2O8, with properties calculated at the PBE level.

Geometry as POSCAR:
```
NaPrNp2O8
1.0
-2.004 -0.446 5.033
4.397 -2.822 1.501
1.187 6.060 -1.926
Np O Na Pr
2 8 1 1
direct
0.250 0.750 0.500
0.500 0.500 0.000
0.157 0.626 0.750
0.374 0.843 0.251
0.876 0.843 0.250
0.877 0.407 0.251
0.593 0.124 0.750
0.593 0.626 0.749
0.374 0.407 0.250
0.157 0.123 0.749
0.750 0.250 0.500
0.000 0.000 0.000
```


(3)
Below is an optimized crystal structure of Na2NpPtO5, with properties calculated at the PBE level.

Geometry as POSCAR:
```
Na2NpPtO5
1.0
6.020 0.000 0.000
0.000 6.008 0.000
0.000 0.000 6.008
O Pt Na Np
10 2 4 2
direct
0.800 0.816 0.316
0.200 0.184 0.684
0.200 0.684 0.816
0.500 0.500 0.500
0.200 0.816 0.316
0.800 0.316 0.184
0.800 0.684 0.816
0.800 0.184 0.684
0.500 0.000 0.000
0.200 0.316 0.184
0.000 0.000 0.500
0.000 0.500 0.000
0.500 0.158 0.342
0.500 0.842 0.658
0.500 0.342 0.842
0.500 0.658 0.158
0.000 0.500 0.500
0.000 0.000 0.000
```


no.,Fermi-level density of states (states/eV/cell),formation energy (no corrections) (meV per atom),uncorrected energy (eV/atom)
1,8.88,-2440,-7.124
2,9.89,-2689,-8.660
3,31.09,-1321,-6.478